Run 1
The following is a DFT calculation (PBE) of a relaxed structure of MgTiRh3.

Spin magnetization (μB per formula unit): 0.0
Fermi-level density of states (states/eV/f.u.): 4.10

a b c (Å): 4.550 4.550 4.550
angles (deg): 90.00 90.00 90.00
Sites, in units of the cell vectors:
Rh (0.000, 0.000, 0.500)
Rh (0.500, 0.000, 0.000)
Rh (0.000, 0.500, 0.000)
Ti (0.000, 0.000, 0.000)
Mg (0.500, 0.500, 0.500)

Run 2
The following is a DFT calculation (PBE) of a relaxed structure of MgTiRh3.

Spin magnetization (μB per formula unit): 0.0
Fermi-level density of states (states/eV/f.u.): 5.78

a b c (Å): 4.417 4.417 4.417
angles (deg): 90.00 90.00 90.00
Sites, in units of the cell vectors:
Rh (0.000, 0.500, 0.000)
Rh (0.000, 0.000, 0.500)
Rh (0.500, 0.000, 0.000)
Ti (0.500, 0.500, 0.500)
Mg (0.000, 0.000, 0.000)

Tell me which of them is the most stable. Sure, it is run 1.

Run 1
The following is a DFT calculation (PBE) of a relaxed structure of Mg3TiRh.

Spin magnetization (μB per formula unit): 0.0
Fermi-level density of states (states/eV/f.u.): 6.15

a b c (Å): 4.810 4.810 4.810
angles (deg): 90.00 90.00 90.00
Sites, in units of the cell vectors:
Mg (0.000, 0.500, 0.000)
Mg (0.000, 0.000, 0.500)
Mg (0.500, 0.000, 0.000)
Ti (0.500, 0.500, 0.500)
Rh (0.000, 0.000, 0.000)

Run 2
The following is a DFT calculation (PBE) of a relaxed structure of Mg3TiRh.

Spin magnetization (μB per formula unit): 3.0
Fermi-level density of states (states/eV/f.u.): 2.75

a b c (Å): 5.041 5.041 5.041
angles (deg): 90.00 90.00 90.00
Sites, in units of the cell vectors:
Mg (0.000, 0.000, 0.500)
Mg (0.500, 0.000, 0.000)
Mg (0.000, 0.500, 0.000)
Ti (0.000, 0.000, 0.000)
Rh (0.500, 0.500, 0.500)

Tell me which of them is the most stable. Sure, it is run 1.

Run 1
The following is a DFT calculation (PBE) of a relaxed structure of Mg5TlRh.

Spin magnetization (μB per formula unit): 0.0
Fermi-level density of states (states/eV/f.u.): 3.53

a b c (Å): 4.254 4.254 8.252
angles (deg): 90.00 90.00 90.01
Sites, in units of the cell vectors:
Tl (0.000, 0.000, 0.000)
Mg (0.500, 0.000, 0.261)
Mg (0.000, 0.000, 0.500)
Mg (0.000, 0.500, 0.261)
Mg (0.000, 0.500, 0.739)
Mg (0.500, 0.000, 0.739)
Rh (0.500, 0.500, 0.500)

Run 2
The following is a DFT calculation (PBE) of a relaxed structure of Mg5TlRh.

Spin magnetization (μB per formula unit): 0.0
Fermi-level density of states (states/eV/f.u.): 3.41

a b c (Å): 4.576 4.576 14.067
angles (deg): 89.84 89.84 89.86
Sites, in units of the cell vectors:
Mg (0.500, 0.002, 0.100)
Mg (0.999, 0.001, 0.250)
Mg (0.500, 0.998, 0.900)
Mg (0.000, 0.500, 0.900)
Mg (0.500, 0.000, 0.400)
Mg (0.000, 0.500, 0.100)
Mg (0.998, 0.500, 0.400)
Mg (0.002, 0.500, 0.600)
Mg (0.500, 0.000, 0.600)
Mg (0.001, 0.999, 0.750)
Tl (0.499, 0.501, 0.250)
Tl (0.501, 0.499, 0.750)
Rh (0.000, 0.000, 0.500)
Rh (0.000, 0.000, 0.000)

Tell me which of them is the most stable. Sure, it is run 2.

Run 1
The following is a DFT calculation (PBE) of a relaxed structure of Mg2Tl2Rh.

Spin magnetization (μB per formula unit): 0.0
Fermi-level density of states (states/eV/f.u.): 2.74

a b c (Å): 6.894 6.894 4.738
angles (deg): 90.00 90.00 90.00
Sites, in units of the cell vectors:
Mg (0.844, 0.656, 0.000)
Mg (0.656, 0.156, 0.000)
Mg (0.344, 0.844, 0.000)
Mg (0.156, 0.344, 0.000)
Tl (0.329, 0.171, 0.500)
Tl (0.829, 0.329, 0.500)
Tl (0.671, 0.829, 0.500)
Tl (0.171, 0.671, 0.500)
Rh (0.000, 0.000, 0.000)
Rh (0.500, 0.500, 0.000)

Run 2
The following is a DFT calculation (PBE) of a relaxed structure of Mg2Tl2Rh.

Spin magnetization (μB per formula unit): 0.0
Fermi-level density of states (states/eV/f.u.): 1.97

a b c (Å): 7.289 7.289 4.133
angles (deg): 90.00 90.00 90.00
Sites, in units of the cell vectors:
Tl (0.148, 0.352, 0.000)
Tl (0.648, 0.148, 0.000)
Tl (0.352, 0.852, 0.000)
Tl (0.852, 0.648, 0.000)
Rh (0.000, 0.000, 0.000)
Rh (0.500, 0.500, 0.000)
Mg (0.337, 0.163, 0.500)
Mg (0.163, 0.663, 0.500)
Mg (0.837, 0.337, 0.500)
Mg (0.663, 0.837, 0.500)

Tell me which of them is the most stable. Sure, it is run 1.

Run 1
The following is a DFT calculation (PBE) of a relaxed structure of TmMgTlRh.

Spin magnetization (μB per formula unit): 0.0
Fermi-level density of states (states/eV/f.u.): 1.17

a b c (Å): 3.282 3.282 7.893
angles (deg): 90.00 90.00 90.00
Sites, in units of the cell vectors:
Mg (0.500, 0.500, 0.367)
Rh (0.000, 0.000, 0.561)
Tm (0.500, 0.500, 0.770)
Tl (0.000, 0.000, 0.087)

Run 2
The following is a DFT calculation (PBE) of a relaxed structure of TmMgTlRh.

Spin magnetization (μB per formula unit): 0.0
Fermi-level density of states (states/eV/f.u.): 3.28

a b c (Å): 4.889 4.889 4.889
angles (deg): 60.00 60.00 60.00
Sites, in units of the cell vectors:
Tm (0.750, 0.750, 0.750)
Tl (0.000, 0.000, 0.000)
Rh (0.500, 0.500, 0.500)
Mg (0.250, 0.250, 0.250)

Tell me which of them is the most stable. Sure, it is run 1.

Run 1
The following is a DFT calculation (PBE) of a relaxed structure of Tm2MgRh.

Spin magnetization (μB per formula unit): 0.0
Fermi-level density of states (states/eV/f.u.): 2.23

a b c (Å): 4.982 4.982 4.982
angles (deg): 60.00 60.00 60.00
Sites, in units of the cell vectors:
Mg (0.500, 0.500, 0.500)
Rh (0.000, 0.000, 0.000)
Tm (0.250, 0.250, 0.250)
Tm (0.750, 0.750, 0.750)

Run 2
The following is a DFT calculation (PBE) of a relaxed structure of Tm2MgRh.

Spin magnetization (μB per formula unit): 0.0
Fermi-level density of states (states/eV/f.u.): 2.37

a b c (Å): 3.482 3.482 7.587
angles (deg): 90.00 90.00 90.00
Sites, in units of the cell vectors:
Rh (0.500, 0.500, 0.000)
Tm (0.000, 0.000, 0.790)
Tm (0.000, 0.000, 0.210)
Mg (0.500, 0.500, 0.500)

Tell me which of them is the most stable. Sure, it is run 2.